(1)
# LaMgAl (GGA-PBE, relaxed)
# space group: No. 216
# formation enthalpy at 0 K: -0.02 eV per formula unit
# DFT total energy: -10.3 eV/f.u.
data_LaMgAl
_chemical_formula_sum 'La1 Mg1 Al1'
_cell_length_a 4.9381
_cell_length_b 4.9381
_cell_length_c 4.9381
_cell_angle_alpha 60.00
_cell_angle_beta 60.00
_cell_angle_gamma 60.00
_symmetry_space_group_name_H-M 'P 1'
_symmetry_Int_Tables_number 1
_symmetry_space_group_name_Hall 'P 1'
loop_
_atom_site_label
_atom_site_fract_x
_atom_site_fract_y
_atom_site_fract_z
_atom_site_occupancy
Mg1 0.7500 0.7500 0.7500 1
Al1 0.0000 0.0000 0.0000 1
La1 0.5000 0.5000 0.5000 1


(2)
# La5MgAl4 (GGA-PBE, relaxed)
# space group: No. 123
# formation enthalpy at 0 K: -3.09 eV per formula unit
# DFT total energy: -44.3 eV/f.u.
data_La5MgAl4
_chemical_formula_sum 'La5 Mg1 Al4'
_cell_length_a 3.8006
_cell_length_b 3.8006
_cell_length_c 19.5158
_cell_angle_alpha 90.00
_cell_angle_beta 90.00
_cell_angle_gamma 90.00
_symmetry_space_group_name_H-M 'P 1'
_symmetry_Int_Tables_number 1
_symmetry_space_group_name_Hall 'P 1'
loop_
_atom_site_label
_atom_site_fract_x
_atom_site_fract_y
_atom_site_fract_z
_atom_site_occupancy
Mg1 0.0000 0.0000 0.0000 1
La1 0.5000 0.5000 0.5000 1
La2 0.5000 0.5000 0.8882 1
La3 0.5000 0.5000 0.1118 1
La4 0.5000 0.5000 0.6945 1
La5 0.5000 0.5000 0.3055 1
Al1 0.0000 0.0000 0.4029 1
Al2 0.0000 0.0000 0.7943 1
Al3 0.0000 0.0000 0.2057 1
Al4 0.0000 0.0000 0.5971 1


(3)
# LaMgAl (GGA-PBE, relaxed)
# space group: No. 2
# formation enthalpy at 0 K: -0.53 eV per formula unit
# DFT total energy: -10.8 eV/f.u.
data_LaMgAl
_chemical_formula_sum 'La2 Mg2 Al2'
_cell_length_a 4.9728
_cell_length_b 6.3206
_cell_length_c 6.3665
_cell_angle_alpha 119.83
_cell_angle_beta 98.25
_cell_angle_gamma 66.97
_symmetry_space_group_name_H-M 'P 1'
_symmetry_Int_Tables_number 1
_symmetry_space_group_name_Hall 'P 1'
loop_
_atom_site_label
_atom_site_fract_x
_atom_site_fract_y
_atom_site_fract_z
_atom_site_occupancy
La1 0.7379 0.8938 0.6826 1
La2 0.4414 0.6031 0.1480 1
Al1 0.4101 0.4835 0.5946 1
Al2 0.7692 0.0134 0.2360 1
Mg1 0.0248 0.3016 0.6873 1
Mg2 0.1545 0.1953 0.1432 1


(4)
# La4MgAl (GGA-PBE, relaxed)
# space group: No. 1
# formation enthalpy at 0 K: 0.68 eV per formula unit
# E above lowest polymorph: 0.247 eV per atom
# DFT total energy: -24.4 eV/f.u.
data_La4MgAl
_chemical_formula_sum 'La4 Mg1 Al1'
_cell_length_a 5.1335
_cell_length_b 5.1518
_cell_length_c 8.3087
_cell_angle_alpha 89.96
_cell_angle_beta 89.94
_cell_angle_gamma 90.00
_symmetry_space_group_name_H-M 'P 1'
_symmetry_Int_Tables_number 1
_symmetry_space_group_name_Hall 'P 1'
loop_
_atom_site_label
_atom_site_fract_x
_atom_site_fract_y
_atom_site_fract_z
_atom_site_occupancy
La1 0.0012 0.4978 0.2725 1
La2 0.5009 0.9973 0.7247 1
La3 0.0016 0.4972 0.7238 1
La4 0.5014 0.9970 0.2715 1
Al1 0.0012 0.9976 0.4980 1
Mg1 0.5015 0.4968 0.9982 1


(5)
# LaMgAl (GGA-PBE, relaxed)
# space group: No. 44
# formation enthalpy at 0 K: -0.69 eV per formula unit
# DFT total energy: -11.0 eV/f.u.
data_LaMgAl
_chemical_formula_sum 'La2 Mg2 Al2'
_cell_length_a 6.1996
_cell_length_b 6.1990
_cell_length_c 4.9766
_cell_angle_alpha 66.34
_cell_angle_beta 113.66
_cell_angle_gamma 104.66
_symmetry_space_group_name_H-M 'P 1'
_symmetry_Int_Tables_number 1
_symmetry_space_group_name_Hall 'P 1'
loop_
_atom_site_label
_atom_site_fract_x
_atom_site_fract_y
_atom_site_fract_z
_atom_site_occupancy
Al1 0.0376 0.8691 0.5844 1
Al2 0.6458 0.4773 0.5844 1
Mg1 0.2332 0.7272 0.2531 1
Mg2 0.7880 0.2816 0.2533 1
La1 0.6532 0.8616 0.8960 1
La2 0.1951 0.3200 0.9373 1


(6)
# La2Mg2Al15 (GGA-PBE, relaxed)
# space group: No. 166
# formation enthalpy at 0 K: -3.47 eV per formula unit
# DFT total energy: -72.7 eV/f.u.
data_La2Mg2Al15
_chemical_formula_sum 'La2 Mg2 Al15'
_cell_length_a 7.2016
_cell_length_b 7.2016
_cell_length_c 7.2016
_cell_angle_alpha 82.76
_cell_angle_beta 82.76
_cell_angle_gamma 82.76
_symmetry_space_group_name_H-M 'P 1'
_symmetry_Int_Tables_number 1
_symmetry_space_group_name_Hall 'P 1'
loop_
_atom_site_label
_atom_site_fract_x
_atom_site_fract_y
_atom_site_fract_z
_atom_site_occupancy
Al1 0.6490 0.6490 0.1562 1
Al2 0.2937 0.7063 0.0000 1
Al3 0.7063 0.0000 0.2937 1
Al4 0.1562 0.6490 0.6490 1
Al5 0.8438 0.3510 0.3510 1
Al6 0.0000 0.7063 0.2937 1
Al7 0.2937 0.0000 0.7063 1
Al8 0.3510 0.3510 0.8438 1
Al9 0.7063 0.2937 0.0000 1
Al10 0.0000 0.0000 0.5000 1
Al11 0.0000 0.2937 0.7063 1
Al12 0.3510 0.8438 0.3510 1
Al13 0.5000 0.0000 0.0000 1
Al14 0.0000 0.5000 0.0000 1
Al15 0.6490 0.1562 0.6490 1
La1 0.6523 0.6523 0.6523 1
La2 0.3477 0.3477 0.3477 1
Mg1 0.8976 0.8976 0.8976 1
Mg2 0.1024 0.1024 0.1024 1


(7)
# LaMgAl (GGA-PBE, relaxed)
# space group: No. 2
# formation enthalpy at 0 K: -0.48 eV per formula unit
# DFT total energy: -10.7 eV/f.u.
data_LaMgAl
_chemical_formula_sum 'La2 Mg2 Al2'
_cell_length_a 5.1351
_cell_length_b 5.1181
_cell_length_c 8.4648
_cell_angle_alpha 72.23
_cell_angle_beta 107.47
_cell_angle_gamma 59.74
_symmetry_space_group_name_H-M 'P 1'
_symmetry_Int_Tables_number 1
_symmetry_space_group_name_Hall 'P 1'
loop_
_atom_site_label
_atom_site_fract_x
_atom_site_fract_y
_atom_site_fract_z
_atom_site_occupancy
La1 0.8146 0.2757 0.8967 1
La2 0.5313 0.2240 0.2798 1
Al1 0.1731 0.2498 0.5883 1
Al2 0.6729 0.7499 0.0882 1
Mg1 0.0017 0.7542 0.7506 1
Mg2 0.3442 0.7455 0.4259 1


(8)
# La2MgAl7 (GGA-PBE, relaxed)
# space group: No. 115
# formation enthalpy at 0 K: -3.45 eV per formula unit
# DFT total energy: -41.1 eV/f.u.
data_La2MgAl7
_chemical_formula_sum 'La2 Mg1 Al7'
_cell_length_a 4.3906
_cell_length_b 4.3906
_cell_length_c 11.3546
_cell_angle_alpha 90.00
_cell_angle_beta 90.00
_cell_angle_gamma 90.00
_symmetry_space_group_name_H-M 'P 1'
_symmetry_Int_Tables_number 1
_symmetry_space_group_name_Hall 'P 1'
loop_
_atom_site_label
_atom_site_fract_x
_atom_site_fract_y
_atom_site_fract_z
_atom_site_occupancy
Mg1 0.5000 0.5000 0.0000 1
Al1 0.0000 0.5000 0.6334 1
Al2 0.0000 0.0000 0.0000 1
Al3 0.0000 0.0000 0.5000 1
Al4 0.5000 0.0000 0.1420 1
Al5 0.0000 0.5000 0.8580 1
Al6 0.5000 0.0000 0.3666 1
Al7 0.5000 0.5000 0.5000 1
La1 0.0000 0.5000 0.2572 1
La2 0.5000 0.0000 0.7428 1


(9)
# LaMg6Al (GGA-PBE, relaxed)
# space group: No. 38
# formation enthalpy at 0 K: -0.19 eV per formula unit
# E above lowest polymorph: 0.000 eV per atom
# DFT total energy: -18.4 eV/f.u.
data_LaMg6Al
_chemical_formula_sum 'La1 Mg6 Al1'
_cell_length_a 7.4308
_cell_length_b 7.4308
_cell_length_c 4.8584
_cell_angle_alpha 90.00
_cell_angle_beta 90.00
_cell_angle_gamma 131.43
_symmetry_space_group_name_H-M 'P 1'
_symmetry_Int_Tables_number 1
_symmetry_space_group_name_Hall 'P 1'
loop_
_atom_site_label
_atom_site_fract_x
_atom_site_fract_y
_atom_site_fract_z
_atom_site_occupancy
Mg1 0.7145 0.2855 0.0000 1
Mg2 0.3216 0.1956 0.5000 1
Mg3 0.1332 0.8668 0.0000 1
Mg4 0.6745 0.8217 0.0000 1
Mg5 0.8044 0.6784 0.5000 1
Mg6 0.1783 0.3255 0.0000 1
La1 0.3004 0.6996 0.5000 1
Al1 0.8732 0.1268 0.5000 1


(10)
# La6MgAl5 (GGA-PBE, relaxed)
# space group: No. 65
# formation enthalpy at 0 K: -3.85 eV per formula unit
# DFT total energy: -53.7 eV/f.u.
data_La6MgAl5
_chemical_formula_sum 'La6 Mg1 Al5'
_cell_length_a 5.4078
_cell_length_b 7.6564
_cell_length_c 8.5596
_cell_angle_alpha 90.00
_cell_angle_beta 71.59
_cell_angle_gamma 90.00
_symmetry_space_group_name_H-M 'P 1'
_symmetry_Int_Tables_number 1
_symmetry_space_group_name_Hall 'P 1'
loop_
_atom_site_label
_atom_site_fract_x
_atom_site_fract_y
_atom_site_fract_z
_atom_site_occupancy
Al1 0.0000 0.5000 0.0000 1
Al2 0.3344 0.5000 0.3312 1
Al3 0.6600 0.0000 0.6799 1
Al4 0.3400 0.0000 0.3201 1
Al5 0.6656 0.5000 0.6688 1
Mg1 0.0000 0.0000 0.0000 1
La1 0.1702 0.2515 0.6596 1
La2 0.8298 0.7485 0.3404 1
La3 0.5000 0.7427 0.0000 1
La4 0.8298 0.2515 0.3404 1
La5 0.5000 0.2573 0.0000 1
La6 0.1702 0.7485 0.6596 1


(11)
# La4Mg2Al (GGA-PBE, relaxed)
# space group: No. 166
# formation enthalpy at 0 K: -0.18 eV per formula unit
# DFT total energy: -26.8 eV/f.u.
data_La4Mg2Al
_chemical_formula_sum 'La4 Mg2 Al1'
_cell_length_a 5.4495
_cell_length_b 5.4495
_cell_length_c 9.3360
_cell_angle_alpha 73.03
_cell_angle_beta 73.03
_cell_angle_gamma 60.00
_symmetry_space_group_name_H-M 'P 1'
_symmetry_Int_Tables_number 1
_symmetry_space_group_name_Hall 'P 1'
loop_
_atom_site_label
_atom_site_fract_x
_atom_site_fract_y
_atom_site_fract_z
_atom_site_occupancy
La1 0.3801 0.3801 0.8597 1
La2 0.8721 0.8721 0.3837 1
La3 0.6199 0.6199 0.1403 1
La4 0.1279 0.1279 0.6163 1
Al1 0.0000 0.0000 0.0000 1
Mg1 0.2554 0.2554 0.2337 1
Mg2 0.7446 0.7446 0.7663 1


(12)
# La8Mg2Al (GGA-PBE, relaxed)
# space group: No. 12
# formation enthalpy at 0 K: -0.87 eV per formula unit
# DFT total energy: -47.2 eV/f.u.
data_La8Mg2Al
_chemical_formula_sum 'La8 Mg2 Al1'
_cell_length_a 5.5846
_cell_length_b 8.9679
_cell_length_c 8.9825
_cell_angle_alpha 119.23
_cell_angle_beta 108.11
_cell_angle_gamma 90.00
_symmetry_space_group_name_H-M 'P 1'
_symmetry_Int_Tables_number 1
_symmetry_space_group_name_Hall 'P 1'
loop_
_atom_site_label
_atom_site_fract_x
_atom_site_fract_y
_atom_site_fract_z
_atom_site_occupancy
La1 0.0719 0.7224 0.1439 1
La2 0.3207 0.0493 0.6413 1
La3 0.5873 0.4361 0.1746 1
La4 0.6793 0.9507 0.3587 1
La5 0.4127 0.5639 0.8254 1
La6 0.8693 0.8201 0.7386 1
La7 0.1307 0.1799 0.2614 1
La8 0.9281 0.2776 0.8561 1
Al1 0.5000 0.0000 0.0000 1
Mg1 0.2311 0.6137 0.4622 1
Mg2 0.7689 0.3863 0.5378 1


no.,N(E_F) (states/eV per cell)
1,1.231
2,6.961
3,4.602
4,9.359
5,5.616
6,10.227
7,0.409
8,4.560
9,3.793
10,10.162
11,9.628
12,12.056